6
Lattice="2.1552 -2.0296 6.2088 5.3331 -1.3639 4.1244 2.3500 6.9997 5.8184" Properties=species:S:1:pos:R:3 comment="Ca5As | the Alexandria database | PBE | relaxed" e_form_ev_per_atom=-0.364 final_energy_ev_per_atom=-2.81 pbc="T T T"
Ca 1.8029 0.9763 3.0605
Ca 8.0355 2.6299 13.0911
Ca 7.4957 -0.3103 11.3292
Ca 3.7442 -1.6968 5.1666
Ca 2.3426 3.9164 4.8224
As 4.9192 1.8031 8.0758